Record 1
Computed, not measured: an optimized crystal structure of LuSnIr at the PBE level of DFT.

As for the density of states at the Fermi level: 1.1 states/eV/cell. For the volume, the calculation gives 62 Å³/cell. The space group is I4mm, No. 107. For the total magnetic moment, the calculation gives 0.00 μB per cell. The total DFT energy (no corrections) comes out at -6.36 eV/atom.

```
LuSnIr
1.0
-0.849 -0.087 3.134
0.864 -3.128 0.147
5.405 3.174 -0.131
Sn Lu Ir
1 1 1
Direct
0.303 0.303 0.607
0.598 0.598 0.196
0.949 0.949 0.898
```


Record 2
Computed, not measured: an optimized crystal structure of Rb3Li at the PBE level of DFT.

As for the density of states at the Fermi level: 3.0 states/eV/cell. The distance to the lowest polymorph of the same formula comes out at 38.1 meV/atom. For the volume, the calculation gives 298 Å³/cell. The space group is Pmm2, No. 25. For the total magnetic moment, the calculation gives 0.00 μB per cell. The total DFT energy (no corrections) comes out at -1.04 eV/atom.

```
Rb3Li
1.0
-2.208 -4.429 0.681
3.232 -1.169 2.875
-7.100 5.083 10.049
Rb Li
3 1
Direct
0.500 0.500 0.143
0.000 0.500 0.460
0.500 0.000 0.754
0.000 0.000 0.976
```


Record 3
Computed, not measured: an optimized crystal structure of SmTm2Al9 at the PBE level of DFT.

As for the density of states at the Fermi level: 4.9 states/eV/cell. The distance to the lowest polymorph of the same formula comes out at 0.0 meV/atom. For the volume, the calculation gives 232 Å³/cell. The space group is P4/mmm, No. 123. For the total magnetic moment, the calculation gives 0.00 μB per cell. The total DFT energy (no corrections) comes out at -4.35 eV/atom.

```
SmTm2Al9
1.0
-1.943 -3.126 2.142
3.438 -0.442 2.473
-4.778 8.568 8.174
Al Sm Tm
9 1 2
Direct
0.000 0.500 0.829
0.500 0.000 0.829
0.500 0.000 0.171
0.000 0.500 0.171
0.500 0.500 0.666
0.500 0.000 0.500
0.000 0.500 0.500
0.500 0.500 0.334
0.500 0.500 0.000
0.000 0.000 0.000
0.000 0.000 0.664
0.000 0.000 0.336
```


Record 4
Computed, not measured: an optimized crystal structure of Li2ZnPb at the PBE level of DFT.

As for the density of states at the Fermi level: 1.5 states/eV/cell. For the volume, the calculation gives 85 Å³/cell. The space group is R-3m, No. 166. For the total magnetic moment, the calculation gives 0.00 μB per cell. The total DFT energy (no corrections) comes out at -2.28 eV/atom.

```
Li2ZnPb
1.0
9.485 0.033 0.020
8.919 3.227 0.020
8.919 1.580 2.814
Li Zn Pb
2 1 1
Direct
0.003 0.003 0.003
0.497 0.497 0.497
0.750 0.750 0.750
0.250 0.250 0.250
```


Record 5
Computed, not measured: an optimized crystal structure of Ba2LiH at the PBE level of DFT.

As for the density of states at the Fermi level: 5.0 states/eV/cell. The distance to the lowest polymorph of the same formula comes out at 0.0 meV/atom. For the volume, the calculation gives 300 Å³/cell. The space group is I-42d, No. 122. For the total magnetic moment, the calculation gives 0.00 μB per cell. The total DFT energy (no corrections) comes out at -2.36 eV/atom.

```
Ba2LiH
1.0
8.169 0.000 0.000
0.000 8.169 0.000
4.084 4.084 4.500
Ba H Li
4 2 2
Direct
0.375 0.481 0.750
0.231 0.625 0.250
0.875 0.769 0.750
0.519 0.125 0.250
0.500 0.500 0.000
0.250 0.750 0.500
0.750 0.250 0.500
0.000 0.000 0.000
```


Record 6
Computed, not measured: an optimized crystal structure of Ba6SrCd2 at the PBE level of DFT.

As for the density of states at the Fermi level: 13.0 states/eV/cell. For the volume, the calculation gives 453 Å³/cell. The space group is C2/m, No. 12. For the total magnetic moment, the calculation gives 0.00 μB per cell. The total DFT energy (no corrections) comes out at -1.78 eV/atom.

```
Ba6SrCd2
1.0
-2.574 0.483 3.418
-4.816 -6.337 -0.020
6.459 -8.955 8.842
Cd Ba Sr
2 6 1
Direct
0.352 0.097 0.198
0.648 0.903 0.802
0.308 0.783 0.601
0.698 0.477 0.126
0.692 0.217 0.399
0.031 0.260 0.678
0.302 0.523 0.874
0.969 0.740 0.322
0.000 0.000 0.000
```


Record 7
Computed, not measured: an optimized crystal structure of ThPtRhPb at the PBE level of DFT.

As for the density of states at the Fermi level: 3.5 states/eV/cell. For the volume, the calculation gives 87 Å³/cell. The space group is F-43m, No. 216. For the total magnetic moment, the calculation gives 0.00 μB per cell. The total DFT energy (no corrections) comes out at -6.73 eV/atom.

```
ThPtRhPb
1.0
-1.740 -2.495 -3.940
-3.684 -3.298 0.571
-4.539 1.007 -1.777
Rh Pb Th Pt
1 1 1 1
Direct
0.000 0.000 0.000
0.750 0.750 0.750
0.250 0.250 0.250
0.500 0.500 0.500
```


Record 8
Computed, not measured: an optimized crystal structure of Al2SiNi at the PBE level of DFT.

As for the density of states at the Fermi level: 3.4 states/eV/cell. The distance to the lowest polymorph of the same formula comes out at 458.2 meV/atom. For the volume, the calculation gives 120 Å³/cell. The space group is P6_3/mmc, No. 194. The value obtained for the energy relative to the elements, uncorrected is 0.145 eV per atom. For the total magnetic moment, the calculation gives 0.00 μB per cell. The total DFT energy (no corrections) comes out at -4.53 eV/atom.

```
Al2SiNi
1.0
2.149 -3.723 0.000
2.149 3.723 0.000
0.000 0.000 7.504
Ni Al Si
2 4 2
Direct
0.667 0.333 0.250
0.333 0.667 0.750
0.667 0.333 0.916
0.333 0.667 0.084
0.333 0.667 0.416
0.667 0.333 0.584
0.000 0.000 0.500
0.000 0.000 0.000
```


Record 9
Computed, not measured: an optimized crystal structure of Rb3CS3 at the PBE level of DFT.

As for the density of states at the Fermi level: 2.8 states/eV/cell. For the volume, the calculation gives 276 Å³/cell. The space group is R3m, No. 160. The value obtained for the energy relative to the elements, uncorrected is -0.445 eV per atom. For the total magnetic moment, the calculation gives 0.62 μB per cell. The total DFT energy (no corrections) comes out at -3.95 eV/atom.

```
Rb3CS3
1.0
-3.285 -5.609 0.427
11.027 2.048 3.571
-5.409 2.990 2.057
Rb S C
3 3 1
Direct
0.483 0.001 0.000
0.517 0.519 0.517
0.000 0.001 0.483
0.666 0.515 0.000
0.000 0.515 0.666
0.334 0.850 0.334
0.000 0.623 0.000
```


Record 10
Computed, not measured: an optimized crystal structure of RbNdReN3 at the PBE level of DFT.

As for the density of states at the Fermi level: 4.0 states/eV/cell. For the volume, the calculation gives 217 Å³/cell. The space group is C2/m, No. 12. The value obtained for the energy relative to the elements, uncorrected is -0.473 eV per atom. For the total magnetic moment, the calculation gives 0.00 μB per cell. The total DFT energy (no corrections) comes out at -7.67 eV/atom.

```
RbNdReN3
1.0
3.948 0.000 0.000
-1.974 6.910 -0.039
0.000 -2.070 7.970
N Re Nd Rb
6 2 2 2
Direct
0.870 0.741 0.219
0.845 0.691 0.624
0.155 0.309 0.376
0.489 0.979 0.663
0.130 0.259 0.781
0.511 0.021 0.337
0.995 0.989 0.660
0.005 0.011 0.340
0.662 0.324 0.583
0.338 0.676 0.417
0.361 0.721 0.932
0.639 0.279 0.068
```


Record 11
Computed, not measured: an optimized crystal structure of LiIn4NiRh2 at the PBE level of DFT.

As for the density of states at the Fermi level: 4.0 states/eV/cell. For the volume, the calculation gives 135 Å³/cell. The space group is R-3m, No. 166. For the total magnetic moment, the calculation gives 0.00 μB per cell. The total DFT energy (no corrections) comes out at -4.49 eV/atom.

```
LiIn4NiRh2
1.0
4.573 0.000 0.000
2.287 3.961 0.000
2.287 1.320 7.480
Li In Rh Ni
1 4 2 1
Direct
0.000 0.000 0.000
0.377 0.377 0.869
0.623 0.623 0.131
0.872 0.872 0.383
0.128 0.128 0.617
0.749 0.749 0.754
0.251 0.251 0.246
0.500 0.500 0.500
```


Record 12
Computed, not measured: an optimized crystal structure of BaAc2Rh at the PBE level of DFT.

As for the density of states at the Fermi level: 4.1 states/eV/cell. The distance to the lowest polymorph of the same formula comes out at 175.3 meV/atom. For the volume, the calculation gives 155 Å³/cell. The space group is P4/mmm, No. 123. For the total magnetic moment, the calculation gives 0.00 μB per cell. The total DFT energy (no corrections) comes out at -4.62 eV/atom.

```
BaAc2Rh
1.0
3.833 0.000 0.000
0.000 3.833 0.000
0.000 0.000 10.528
Ac Ba Rh
2 1 1
Direct
0.000 0.000 0.164
0.000 0.000 0.836
0.500 0.500 0.500
0.500 0.500 0.000
```